# Na2Ni2OsO6 | Alexandria | PBE+U | optimized geometry
# energy: -5.6409 eV per atom
data_Na2Ni2OsO6
_symmetry_space_group_name_H-M 'C 1 2/m 1'
_symmetry_Int_Tables_number 12
_symmetry_space_group_name_Hall '-C 2y'
_cell_length_a 5.325
_cell_length_b 9.000
_cell_length_c 5.782
_cell_angle_alpha 90.00
_cell_angle_beta 109.34
_cell_angle_gamma 90.00
loop_
_atom_site_label
_atom_site_type_symbol
_atom_site_fract_x
_atom_site_fract_y
_atom_site_fract_z
Na1 Na 0.000 0.176 0.000
Ni1 Ni 0.000 0.337 0.500
Os1 Os 0.000 0.000 0.500
O1 O 0.223 0.158 0.695
O2 O 0.238 0.000 0.303